1.
Entry from Alexandria via LeMat-Bulk: an optimized crystal structure of Mg2ZrSbH (PBE).

Computed properties:
calculated volume: 86.9 Å³/cell
DFT total energy: -4.03 eV per atom

Cell and atoms, written as CIF:
```
data_Mg2ZrSbH
_chemical_formula_sum 'Mg2 Zr1 Sb1 H1'
_symmetry_space_group_name_H-M 'P 4/m m m'
_symmetry_Int_Tables_number 123
_symmetry_space_group_name_Hall '-P 4 2'
_cell_length_a 4.491
_cell_length_b 4.491
_cell_length_c 4.308
_cell_angle_alpha 90.00
_cell_angle_beta 90.00
_cell_angle_gamma 90.00
loop_
_atom_site_label
_atom_site_type_symbol
_atom_site_fract_x
_atom_site_fract_y
_atom_site_fract_z
Mg1 Mg 0.000 0.500 0.000
Zr1 Zr 0.000 0.000 0.500
Sb1 Sb 0.500 0.500 0.500
H1 H 0.000 0.000 0.000
```

2.
Entry from Alexandria via LeMat-Bulk: an optimized crystal structure of MgScH2 (PBE).

Computed properties:
excess energy over the best structure of this formula in the dataset: 0 meV per atom
calculated volume: 207.3 Å³/cell
DFT total energy: -3.88 eV per atom

Cell and atoms, written as CIF:
```
data_MgScH2
_chemical_formula_sum 'Mg4 Sc4 H8'
_symmetry_space_group_name_H-M 'I -4 2 d'
_symmetry_Int_Tables_number 122
_symmetry_space_group_name_Hall 'I -4 2bw'
_cell_length_a 4.597
_cell_length_b 4.597
_cell_length_c 9.808
_cell_angle_alpha 90.00
_cell_angle_beta 90.00
_cell_angle_gamma 90.00
loop_
_atom_site_label
_atom_site_type_symbol
_atom_site_fract_x
_atom_site_fract_y
_atom_site_fract_z
Mg1 Mg 0.000 0.000 0.000
Sc1 Sc 0.000 0.000 0.500
H1 H 0.215 0.250 0.625
```

3.
Entry from Alexandria via LeMat-Bulk: an optimized crystal structure of MgScH (PBE).

Computed properties:
excess energy over the best structure of this formula in the dataset: 181 meV per atom
calculated volume: 49.7 Å³/cell
DFT total energy: -3.94 eV per atom

Cell and atoms, written as CIF:
```
data_MgScH
_chemical_formula_sum 'Mg1 Sc1 H1'
_symmetry_space_group_name_H-M 'P 3 m 1'
_symmetry_Int_Tables_number 156
_cell_length_a 3.2861
_cell_length_b 3.2861
_cell_length_c 5.3178
_cell_angle_alpha 90.00
_cell_angle_beta 90.00
_cell_angle_gamma 120.00
loop_
_symmetry_equiv_pos_as_xyz
'x,y,z'
'-y,x-y,z'
'-x+y,-x,z'
'-y,-x,z'
'-x+y,y,z'
'x,x-y,z'
loop_
_atom_site_label
_atom_site_type_symbol
_atom_site_fract_x
_atom_site_fract_y
_atom_site_fract_z
Mg1 Mg 0.0000 0.0000 0.0000
Sc1 Sc 0.6667 0.3333 0.4968
H1 H 0.3333 0.6667 0.6373
```

4.
Entry from Alexandria via LeMat-Bulk: an optimized crystal structure of Mg2ScH (PBE).

Computed properties:
excess energy over the best structure of this formula in the dataset: 0 meV per atom
calculated volume: 304.9 Å³/cell
DFT total energy: -3.08 eV per atom

Cell and atoms, written as CIF:
```
data_Mg2ScH
_chemical_formula_sum 'Mg8 Sc4 H4'
_symmetry_space_group_name_H-M 'I -4 2 d'
_symmetry_Int_Tables_number 122
_symmetry_space_group_name_Hall 'I -4 2bw'
_cell_length_a 5.995
_cell_length_b 5.995
_cell_length_c 8.484
_cell_angle_alpha 90.00
_cell_angle_beta 90.00
_cell_angle_gamma 90.00
loop_
_atom_site_label
_atom_site_type_symbol
_atom_site_fract_x
_atom_site_fract_y
_atom_site_fract_z
Mg1 Mg 0.005 0.250 0.125
Sc1 Sc 0.000 0.000 0.500
H1 H 0.000 0.000 0.000
```

5.
Entry from Alexandria via LeMat-Bulk: an optimized crystal structure of MgScH (PBE).

Computed properties:
excess energy over the best structure of this formula in the dataset: 172 meV per atom
calculated volume: 404.9 Å³/cell
DFT total energy: -3.95 eV per atom

Cell and atoms, written as CIF:
```
data_MgScH
_chemical_formula_sum 'Mg8 Sc8 H8'
_symmetry_space_group_name_H-M 'P 63 m c'
_symmetry_Int_Tables_number 186
_symmetry_space_group_name_Hall 'P 6c -2c'
_cell_length_a 6.6201
_cell_length_b 6.6201
_cell_length_c 10.6673
_cell_angle_alpha 90.00
_cell_angle_beta 90.00
_cell_angle_gamma 120.00
loop_
_atom_site_label
_atom_site_type_symbol
_atom_site_fract_x
_atom_site_fract_y
_atom_site_fract_z
Mg1 Mg 0.0000 0.0000 0.0000
Mg2 Mg 0.0154 0.5077 0.9999
Sc1 Sc 0.1657 0.3315 0.7436
Sc2 Sc 0.3333 0.6667 0.2614
H1 H 0.1642 0.3285 0.2990
H2 H 0.3333 0.6667 0.6791
```

6.
Entry from Alexandria via LeMat-Bulk: an optimized crystal structure of MgScH2 (PBE).

Computed properties:
excess energy over the best structure of this formula in the dataset: 381 meV per atom
calculated volume: 184.9 Å³/cell
DFT total energy: -3.50 eV per atom

Cell and atoms, written as CIF:
```
data_MgScH2
_chemical_formula_sum 'Mg4 Sc4 H8'
_symmetry_space_group_name_H-M 'F m -3 m'
_symmetry_Int_Tables_number 225
_symmetry_space_group_name_Hall '-F 4 2 3'
_cell_length_a 5.697
_cell_length_b 5.697
_cell_length_c 5.697
_cell_angle_alpha 90.00
_cell_angle_beta 90.00
_cell_angle_gamma 90.00
loop_
_atom_site_label
_atom_site_type_symbol
_atom_site_fract_x
_atom_site_fract_y
_atom_site_fract_z
Mg1 Mg 0.000 0.000 0.000
Sc1 Sc 0.000 0.000 0.500
H1 H 0.250 0.250 0.250
```

7.
Entry from Alexandria via LeMat-Bulk: an optimized crystal structure of Mg2ScH (PBE).

Computed properties:
excess energy over the best structure of this formula in the dataset: 573 meV per atom
calculated volume: 329.5 Å³/cell
DFT total energy: -2.51 eV per atom

Cell and atoms, written as CIF:
```
data_Mg2ScH
_chemical_formula_sum 'Mg8 Sc4 H4'
_symmetry_space_group_name_H-M 'F m -3 m'
_symmetry_Int_Tables_number 225
_symmetry_space_group_name_Hall '-F 4 2 3'
_cell_length_a 6.907
_cell_length_b 6.907
_cell_length_c 6.907
_cell_angle_alpha 90.00
_cell_angle_beta 90.00
_cell_angle_gamma 90.00
loop_
_atom_site_label
_atom_site_type_symbol
_atom_site_fract_x
_atom_site_fract_y
_atom_site_fract_z
Mg1 Mg 0.250 0.250 0.250
Sc1 Sc 0.000 0.000 0.000
H1 H 0.000 0.000 0.500
```

8.
Entry from Alexandria via LeMat-Bulk: an optimized crystal structure of Mg2Sc2H (PBE).

Computed properties:
calculated volume: 200.4 Å³/cell
DFT total energy: -3.85 eV per atom

Cell and atoms, written as CIF:
```
data_Mg2Sc2H
_chemical_formula_sum 'Mg4 Sc4 H2'
_symmetry_space_group_name_H-M 'P 4/m b m'
_symmetry_Int_Tables_number 127
_symmetry_space_group_name_Hall '-P 4 2ab'
_cell_length_a 6.007
_cell_length_b 6.007
_cell_length_c 5.553
_cell_angle_alpha 90.00
_cell_angle_beta 90.00
_cell_angle_gamma 90.00
loop_
_atom_site_label
_atom_site_type_symbol
_atom_site_fract_x
_atom_site_fract_y
_atom_site_fract_z
Mg1 Mg 0.165 0.335 0.000
Sc1 Sc 0.170 0.670 0.500
H1 H 0.000 0.000 0.500
```

9.
Entry from Alexandria via LeMat-Bulk: an optimized crystal structure of MgSc2H2 (PBE).

Computed properties:
calculated volume: 144.9 Å³/cell
DFT total energy: -4.63 eV per atom

Cell and atoms, written as CIF:
```
data_MgSc2H2
_chemical_formula_sum 'Mg2 Sc4 H4'
_symmetry_space_group_name_H-M 'I 4/m m m'
_symmetry_Int_Tables_number 139
_symmetry_space_group_name_Hall '-I 4 2'
_cell_length_a 3.566
_cell_length_b 3.566
_cell_length_c 11.393
_cell_angle_alpha 90.00
_cell_angle_beta 90.00
_cell_angle_gamma 90.00
loop_
_atom_site_label
_atom_site_type_symbol
_atom_site_fract_x
_atom_site_fract_y
_atom_site_fract_z
Mg1 Mg 0.000 0.000 0.000
Sc1 Sc 0.000 0.000 0.339
H1 H 0.000 0.500 0.250
```

10.
Entry from Alexandria via LeMat-Bulk: an optimized crystal structure of Mg3ScH (PBE).

Computed properties:
calculated volume: 92.3 Å³/cell
DFT total energy: -2.83 eV per atom

Cell and atoms, written as CIF:
```
data_Mg3ScH
_chemical_formula_sum 'Mg3 Sc1 H1'
_symmetry_space_group_name_H-M 'P m -3 m'
_symmetry_Int_Tables_number 221
_symmetry_space_group_name_Hall '-P 4 2 3'
_cell_length_a 4.520
_cell_length_b 4.520
_cell_length_c 4.520
_cell_angle_alpha 90.00
_cell_angle_beta 90.00
_cell_angle_gamma 90.00
loop_
_atom_site_label
_atom_site_type_symbol
_atom_site_fract_x
_atom_site_fract_y
_atom_site_fract_z
Mg1 Mg 0.000 0.000 0.500
Sc1 Sc 0.500 0.500 0.500
H1 H 0.000 0.000 0.000
```

11.
Entry from Alexandria via LeMat-Bulk: an optimized crystal structure of MgScH (PBE).

Computed properties:
excess energy over the best structure of this formula in the dataset: 0 meV per atom
calculated volume: 95.8 Å³/cell
DFT total energy: -4.12 eV per atom

Cell and atoms, written as CIF:
```
data_MgScH
_chemical_formula_sum 'Mg2 Sc2 H2'
_symmetry_space_group_name_H-M 'P 4/n m m'
_symmetry_Int_Tables_number 129
_cell_length_a 3.481
_cell_length_b 3.481
_cell_length_c 7.901
_cell_angle_alpha 90.00
_cell_angle_beta 90.00
_cell_angle_gamma 90.00
loop_
_symmetry_equiv_pos_as_xyz
'x,y,z'
'-x,-y,-z'
'-y+1/2,x,z'
'y+1/2,-x,-z'
'-x+1/2,-y+1/2,z'
'x+1/2,y+1/2,-z'
'y,-x+1/2,z'
'-y,x+1/2,-z'
'x+1/2,-y,-z'
'-x+1/2,y,z'
'-y,-x,-z'
'y,x,z'
'-x,y+1/2,-z'
'x,-y+1/2,z'
'y+1/2,x+1/2,-z'
'-y+1/2,-x+1/2,z'
loop_
_atom_site_label
_atom_site_type_symbol
_atom_site_fract_x
_atom_site_fract_y
_atom_site_fract_z
Mg1 Mg 0.250 0.250 0.108
Sc1 Sc 0.250 0.250 0.635
H1 H 0.250 0.750 0.500
```

12.
Entry from Alexandria via LeMat-Bulk: an optimized crystal structure of Mg5Sc3H12 (PBE).

Computed properties:
calculated volume: 1607.4 Å³/cell
DFT total energy: -3.57 eV per atom

Cell and atoms, written as CIF:
```
data_Mg5Sc3H12
_chemical_formula_sum 'Mg40 Sc24 H96'
_symmetry_space_group_name_H-M 'I a -3 d'
_symmetry_Int_Tables_number 230
_symmetry_space_group_name_Hall '-I 4bd 2c 3'
_cell_length_a 11.714
_cell_length_b 11.714
_cell_length_c 11.714
_cell_angle_alpha 90.00
_cell_angle_beta 90.00
_cell_angle_gamma 90.00
loop_
_atom_site_label
_atom_site_type_symbol
_atom_site_fract_x
_atom_site_fract_y
_atom_site_fract_z
Mg1 Mg 0.000 0.000 0.000
Mg2 Mg 0.000 0.250 0.375
Sc1 Sc 0.000 0.250 0.125
H1 H 0.011 0.069 0.656
```

13.
Entry from Alexandria via LeMat-Bulk: an optimized crystal structure of Mg2ScH2 (PBE).

Computed properties:
calculated volume: 152.5 Å³/cell
DFT total energy: -3.34 eV per atom

Cell and atoms, written as CIF:
```
data_Mg2ScH2
_chemical_formula_sum 'Mg4 Sc2 H4'
_symmetry_space_group_name_H-M 'P 4/m b m'
_symmetry_Int_Tables_number 127
_symmetry_space_group_name_Hall '-P 4 2ab'
_cell_length_a 5.952
_cell_length_b 5.952
_cell_length_c 4.304
_cell_angle_alpha 90.00
_cell_angle_beta 90.00
_cell_angle_gamma 90.00
loop_
_atom_site_label
_atom_site_type_symbol
_atom_site_fract_x
_atom_site_fract_y
_atom_site_fract_z
Mg1 Mg 0.180 0.320 0.000
Sc1 Sc 0.000 0.000 0.500
H1 H 0.213 0.287 0.500
```

14.
Entry from Alexandria via LeMat-Bulk: an optimized crystal structure of Mg2ScHSe (PBE).

Computed properties:
calculated volume: 119.9 Å³/cell
DFT total energy: -2.92 eV per atom

Cell and atoms, written as CIF:
```
data_Mg2ScHSe
_chemical_formula_sum 'Mg2 Sc1 H1 Se1'
_symmetry_space_group_name_H-M 'P 4/m m m'
_symmetry_Int_Tables_number 123
_symmetry_space_group_name_Hall '-P 4 2'
_cell_length_a 5.755
_cell_length_b 5.755
_cell_length_c 3.621
_cell_angle_alpha 90.00
_cell_angle_beta 90.00
_cell_angle_gamma 90.00
loop_
_atom_site_label
_atom_site_type_symbol
_atom_site_fract_x
_atom_site_fract_y
_atom_site_fract_z
Mg1 Mg 0.000 0.500 0.000
Sc1 Sc 0.000 0.000 0.000
H1 H 0.000 0.000 0.500
Se1 Se 0.500 0.500 0.500
```

15.
Entry from Alexandria via LeMat-Bulk: an optimized crystal structure of MgSc2SiH (PBE).

Computed properties:
calculated volume: 78.0 Å³/cell
DFT total energy: -4.96 eV per atom

Cell and atoms, written as CIF:
```
data_MgSc2SiH
_chemical_formula_sum 'Mg1 Sc2 Si1 H1'
_symmetry_space_group_name_H-M 'P 4/m m m'
_symmetry_Int_Tables_number 123
_symmetry_space_group_name_Hall '-P 4 2'
_cell_length_a 4.274
_cell_length_b 4.274
_cell_length_c 4.271
_cell_angle_alpha 90.00
_cell_angle_beta 90.00
_cell_angle_gamma 90.00
loop_
_atom_site_label
_atom_site_type_symbol
_atom_site_fract_x
_atom_site_fract_y
_atom_site_fract_z
Mg1 Mg 0.000 0.000 0.000
Sc1 Sc 0.000 0.500 0.500
Si1 Si 0.500 0.500 0.000
H1 H 0.000 0.000 0.500
```

16.
Entry from Alexandria via LeMat-Bulk: an optimized crystal structure of SrMgScH2 (PBE).

Computed properties:
excess energy over the best structure of this formula in the dataset: 694 meV per atom
calculated volume: 130.8 Å³/cell
DFT total energy: -2.36 eV per atom

Cell and atoms, written as CIF:
```
data_SrMgScH2
_chemical_formula_sum 'Sr1 Mg1 Sc1 H2'
_symmetry_space_group_name_H-M 'P 4/m m m'
_symmetry_Int_Tables_number 123
_symmetry_space_group_name_Hall '-P 4 2'
_cell_length_a 4.352
_cell_length_b 4.352
_cell_length_c 6.907
_cell_angle_alpha 90.00
_cell_angle_beta 90.00
_cell_angle_gamma 90.00
loop_
_atom_site_label
_atom_site_type_symbol
_atom_site_fract_x
_atom_site_fract_y
_atom_site_fract_z
Sr1 Sr 0.000 0.000 0.000
Mg1 Mg 0.000 0.000 0.500
Sc1 Sc 0.500 0.500 0.000
H1 H 0.000 0.500 0.500
```

17.
Entry from Alexandria via LeMat-Bulk: an optimized crystal structure of Sr2MgScH (PBE).

Computed properties:
calculated volume: 140.6 Å³/cell
DFT total energy: -2.93 eV per atom

Cell and atoms, written as CIF:
```
data_Sr2MgScH
_chemical_formula_sum 'Sr2 Mg1 Sc1 H1'
_symmetry_space_group_name_H-M 'P 4/m m m'
_symmetry_Int_Tables_number 123
_symmetry_space_group_name_Hall '-P 4 2'
_cell_length_a 5.780
_cell_length_b 5.780
_cell_length_c 4.209
_cell_angle_alpha 90.00
_cell_angle_beta 90.00
_cell_angle_gamma 90.00
loop_
_atom_site_label
_atom_site_type_symbol
_atom_site_fract_x
_atom_site_fract_y
_atom_site_fract_z
Sr1 Sr 0.000 0.500 0.000
Mg1 Mg 0.000 0.000 0.500
Sc1 Sc 0.500 0.500 0.500
H1 H 0.500 0.500 0.000
```

18.
Entry from Alexandria via LeMat-Bulk: an optimized crystal structure of SrMgScH2 (PBE).

Computed properties:
excess energy over the best structure of this formula in the dataset: 0 meV per atom
calculated volume: 113.4 Å³/cell
DFT total energy: -3.05 eV per atom

Cell and atoms, written as CIF:
```
data_SrMgScH2
_chemical_formula_sum 'Sr1 Mg1 Sc1 H2'
_symmetry_space_group_name_H-M 'P 4/m m m'
_symmetry_Int_Tables_number 123
_symmetry_space_group_name_Hall '-P 4 2'
_cell_length_a 4.365
_cell_length_b 4.365
_cell_length_c 5.949
_cell_angle_alpha 90.00
_cell_angle_beta 90.00
_cell_angle_gamma 90.00
loop_
_atom_site_label
_atom_site_type_symbol
_atom_site_fract_x
_atom_site_fract_y
_atom_site_fract_z
Sr1 Sr 0.000 0.000 0.000
Mg1 Mg 0.500 0.500 0.000
Sc1 Sc 0.500 0.500 0.500
H1 H 0.000 0.500 0.500
```

19.
Entry from Alexandria via LeMat-Bulk: an optimized crystal structure of MgScTaH2 (PBE).

Computed properties:
calculated volume: 84.0 Å³/cell
DFT total energy: -4.47 eV per atom

Cell and atoms, written as CIF:
```
data_MgScTaH2
_chemical_formula_sum 'Mg1 Sc1 Ta1 H2'
_symmetry_space_group_name_H-M 'P 4/m m m'
_symmetry_Int_Tables_number 123
_symmetry_space_group_name_Hall '-P 4 2'
_cell_length_a 3.804
_cell_length_b 3.804
_cell_length_c 5.806
_cell_angle_alpha 90.00
_cell_angle_beta 90.00
_cell_angle_gamma 90.00
loop_
_atom_site_label
_atom_site_type_symbol
_atom_site_fract_x
_atom_site_fract_y
_atom_site_fract_z
Mg1 Mg 0.000 0.000 0.000
Sc1 Sc 0.000 0.000 0.500
Ta1 Ta 0.500 0.500 0.000
H1 H 0.000 0.500 0.500
```

20.
Entry from Alexandria via LeMat-Bulk: an optimized crystal structure of MgScTi2H (PBE).

Computed properties:
calculated volume: 79.1 Å³/cell
DFT total energy: -5.46 eV per atom

Cell and atoms, written as CIF:
```
data_MgScTi2H
_chemical_formula_sum 'Mg1 Sc1 Ti2 H1'
_symmetry_space_group_name_H-M 'P 4/m m m'
_symmetry_Int_Tables_number 123
_symmetry_space_group_name_Hall '-P 4 2'
_cell_length_a 4.235
_cell_length_b 4.235
_cell_length_c 4.410
_cell_angle_alpha 90.00
_cell_angle_beta 90.00
_cell_angle_gamma 90.00
loop_
_atom_site_label
_atom_site_type_symbol
_atom_site_fract_x
_atom_site_fract_y
_atom_site_fract_z
Mg1 Mg 0.000 0.000 0.000
Sc1 Sc 0.500 0.500 0.000
Ti1 Ti 0.000 0.500 0.500
H1 H 0.500 0.500 0.500
```